P) Material: KMnPb2
Method: DFT, PBE-GGA
State: relaxed

a = 8.543 Å, b = 8.543 Å, c = 8.543 Å
α = 150.03°, β = 155.34°, γ = 39.18°
Site moments in Bohr magnetons follow the coordinates.
Fractional coordinates of all 4 atoms:
Mn1 0.797 0.297 0.500  3.78
Pb1 0.910 0.910 0.000  -0.07
K1 0.549 0.549 0.000  0.00
Pb2 0.244 0.744 0.500  -0.07

***

Q) Material: KMnPb2
Method: DFT, PBE-GGA
State: relaxed

a = 3.450 Å, b = 3.980 Å, c = 8.359 Å
α = 90.00°, β = 90.00°, γ = 90.00°
Site moments in Bohr magnetons follow the coordinates.
Fractional coordinates of all 4 atoms:
Mn1 0.500 0.500 0.750  3.81
Pb1 0.000 0.000 0.939  -0.06
K1 0.500 0.500 0.250  0.00
Pb2 0.000 0.000 0.561  -0.06

***

It turns out Q) is the most stable, with the second structure 76 meV per atom higher.

***

P) Material: KMnPb2
Method: DFT, PBE-GGA
State: relaxed

a = 5.232 Å, b = 5.232 Å, c = 5.232 Å
α = 60.00°, β = 60.00°, γ = 60.00°
Site moments in Bohr magnetons follow the coordinates.
Fractional coordinates of all 4 atoms:
Mn1 0.500 0.500 0.500  -0.32
Pb1 0.750 0.750 0.750  0.03
Pb2 0.250 0.250 0.250  0.03
K1 0.000 0.000 0.000  0.01

***

Q) Material: KMnPb2
Method: DFT, PBE-GGA
State: relaxed

a = 5.534 Å, b = 5.534 Å, c = 5.534 Å
α = 60.00°, β = 60.00°, γ = 60.00°
Site moments in Bohr magnetons follow the coordinates.
Fractional coordinates of all 4 atoms:
Mn1 0.750 0.750 0.750  4.24
Pb1 0.000 0.000 0.000  -0.02
K1 0.500 0.500 0.500  0.00
Pb2 0.250 0.250 0.250  -0.02

***

It turns out Q) is the most stable, with the second structure 386 meV per atom higher.

***

P) Material: KTi2MnPb
Method: DFT, PBE-GGA
State: relaxed

a = 4.669 Å, b = 5.751 Å, c = 4.669 Å
α = 90.00°, β = 90.00°, γ = 90.00°
Site moments in Bohr magnetons follow the coordinates.
Fractional coordinates of all 5 atoms:
K1 0.000 0.500 0.000  0.01
Mn1 0.000 0.000 0.000  1.82
Ti1 0.000 0.000 0.500  -0.78
Pb1 0.500 0.500 0.500  0.03
Ti2 0.500 0.000 0.000  -0.97

***

Q) Material: KTi2MnPb
Method: DFT, PBE-GGA
State: relaxed

a = 5.253 Å, b = 5.911 Å, c = 5.253 Å
α = 90.00°, β = 90.00°, γ = 90.00°
Site moments in Bohr magnetons follow the coordinates.
Fractional coordinates of all 5 atoms:
Mn1 0.500 0.500 0.500  0.52
Pb1 0.000 0.000 0.000  -0.03
Ti1 0.000 0.000 0.500  0.52
Ti2 0.500 0.000 0.000  0.33
K1 0.000 0.500 0.000  -0.01

***

It turns out P) is the most stable, with the second structure 1077 meV per atom higher.

***

P) Material: KMnPd3
Method: DFT, PBE-GGA
State: relaxed

a = 4.711 Å, b = 4.711 Å, c = 4.711 Å
α = 90.00°, β = 90.00°, γ = 90.00°
Fractional coordinates of all 5 atoms:
Pd1 0.000 0.000 0.500
K1 0.500 0.500 0.500
Pd2 0.000 0.500 0.000
Pd3 0.500 0.000 0.000
Mn1 0.000 0.000 0.000

***

Q) Material: KMnPd3
Method: DFT, PBE-GGA
State: relaxed

a = 4.877 Å, b = 4.877 Å, c = 4.877 Å
α = 90.00°, β = 90.00°, γ = 90.00°
Site moments in Bohr magnetons follow the coordinates.
Fractional coordinates of all 5 atoms:
Pd1 0.500 0.000 0.000  0.00
Pd2 0.000 0.000 0.500  0.03
Pd3 0.000 0.500 0.000  0.01
K1 0.000 0.000 0.000  0.00
Mn1 0.500 0.500 0.500  -0.73

***

It turns out P) is the most stable, with the second structure 1423 meV per atom higher.